Cs2KRb2: relaxed, GGA-PBE.

* ΔE to the lowest computed polymorph: 0.23 eV per formula unit
* energy of formation: 52 meV/atom

abc: 7.7289 7.7289 18.5335
angles: 102.04 102.04 90.00
Element x y z (fractional)
Rb (0.6707, 0.6707, 0.3415)
Rb (0.4207, 0.9207, 0.8415)
Rb (0.0793, 0.5793, 0.1585)
Rb (0.3293, 0.3293, 0.6585)
K (0.5000, 0.5000, 0.0000)
K (0.2500, 0.7500, 0.5000)
Cs (0.9285, 0.4285, 0.8571)
Cs (0.5715, 0.0715, 0.1429)
Cs (0.8215, 0.8215, 0.6429)
Cs (0.1785, 0.1785, 0.3571)


In3W: relaxed, GGA-PBE.

* ΔE to the lowest computed polymorph: 0.58 eV per formula unit
* energy of formation: 616 meV/atom

abc: 5.3998 5.3998 3.0461
angles: 90.00 90.00 110.45
Element x y z (fractional)
In (0.5000, 0.5000, 0.0000)
In (0.0000, 0.5000, 0.5000)
In (0.5000, 0.0000, 0.5000)
W (0.0000, 0.0000, 0.0000)


Ac6AlSe5: relaxed, GGA-PBE.

* formation energy (no corrections): -1.591 eV/atom

abc: 7.8351 7.8483 7.8415
angles: 59.97 80.44 70.61
Element x y z (fractional)
Ac (0.7527, 0.7516, 0.0000)
Ac (0.7518, 0.4129, 0.6697)
Ac (0.2482, 0.9174, 0.6697)
Ac (0.2473, 0.2484, 0.0000)
Ac (0.2482, 0.5871, 0.3303)
Ac (0.7518, 0.0826, 0.3303)
Se (0.0000, 0.6668, 0.6663)
Se (0.5000, 0.8331, 0.3338)
Se (0.0000, 0.3332, 0.3337)
Se (0.5000, 0.1669, 0.6662)
Se (0.5000, 0.5000, 0.0000)
Al (0.0000, 0.0000, 0.0000)


The records above give, respectively, magnetization values of 0.00 0.00 0.00 μB/f.u..